No. 1
A plane-wave DFT calculation with PBE-GGA was carried out for a relaxed TeRu2Se crystal.

The structure in POSCAR format:
```
TeRu2Se
1.0
8.2799 0.0000 0.0000
0.0000 3.3006 0.0000
-0.8221 0.0000 5.5483
Te Ru Se
2 4 2
Direct
0.0000 0.0000 0.0000
0.5000 0.5000 0.0000
0.0011 0.5000 0.5903
0.2344 0.5000 0.2355
0.5011 0.0000 0.5903
0.7344 0.0000 0.2355
0.2114 0.0000 0.5502
0.7114 0.5000 0.5502
```

Summary:
DOS at the Fermi energy in states/eV/cell: 6.9
Total magnetization in Bohr magnetons per cell: 0.00
ΔE to the lowest computed polymorph in eV/atom: 0.072

---

No. 2
A plane-wave DFT calculation with PBE-GGA was carried out for a relaxed SmNpZnO6 crystal.

The structure in POSCAR format:
```
SmNpZnO6
1.0
5.3809 0.0000 0.0000
-2.6905 4.6600 0.0000
0.0000 0.0000 10.2171
Sm Np Zn O
2 2 2 12
Direct
0.0000 0.0000 0.0000
0.0000 0.0000 0.5000
0.3333 0.6667 0.2500
0.6667 0.3333 0.7500
0.3333 0.6667 0.7500
0.6667 0.3333 0.2500
0.0154 0.3599 0.1385
0.0154 0.6555 0.3615
0.3445 0.3599 0.3615
0.3445 0.9846 0.1385
0.3599 0.0154 0.6385
0.3599 0.3445 0.8615
0.6401 0.6555 0.1385
0.6401 0.9846 0.3615
0.6555 0.0154 0.8615
0.6555 0.6401 0.6385
0.9846 0.3445 0.6385
0.9846 0.6401 0.8615
```

Summary:
Total magnetization in Bohr magnetons per cell: 0.00
VASP energy in eV per formula unit: -71.404

---

No. 3
A plane-wave DFT calculation with PBE-GGA was carried out for a relaxed Li3BiO3 crystal.

The structure in POSCAR format:
```
Li3BiO3
1.0
8.9587 -2.7566 0.0000
8.9587 2.7566 0.0000
0.0000 0.0000 7.0021
Li Bi O
12 4 12
Direct
0.0869 0.3289 0.8698
0.0980 0.9020 0.8557
0.1711 0.4131 0.6302
0.3289 0.0869 0.1302
0.4020 0.5980 0.3557
0.4131 0.1711 0.3698
0.5869 0.8289 0.6302
0.5980 0.4020 0.6443
0.6711 0.9131 0.8698
0.8289 0.5869 0.3698
0.9020 0.0980 0.1443
0.9131 0.6711 0.1302
0.1032 0.1032 0.5000
0.3968 0.3968 0.0000
0.6032 0.6032 0.0000
0.8968 0.8968 0.5000
0.0563 0.5820 0.8713
0.0820 0.5563 0.3713
0.2411 0.7589 0.1178
0.2589 0.7411 0.6178
0.4180 0.9437 0.8713
0.4437 0.9180 0.3713
0.5563 0.0820 0.6287
0.5820 0.0563 0.1287
0.7411 0.2589 0.3822
0.7589 0.2411 0.8822
0.9180 0.4437 0.6287
0.9437 0.4180 0.1287
```

Summary:
DOS at the Fermi energy in states/eV/cell: 0.0
Total magnetization in Bohr magnetons per cell: 0.00
ΔE to the lowest computed polymorph in eV/atom: 0.156

---

No. 4
A plane-wave DFT calculation with PBE-GGA was carried out for a relaxed MgBe2Hg crystal.

The structure in POSCAR format:
```
MgBe2Hg
1.0
3.4320 0.0000 0.0000
0.0000 4.1460 0.0000
0.0000 0.0000 8.3275
Mg Be Hg
2 4 2
Direct
0.0000 0.0000 0.0000
0.5000 0.5000 0.5000
0.0000 0.0000 0.4550
0.0000 0.5000 0.7648
0.5000 0.0000 0.2648
0.5000 0.5000 0.9550
0.0000 0.5000 0.2294
0.5000 0.0000 0.7294
```

Summary:
DOS at the Fermi energy in states/eV/cell: 1.8
Total magnetization in Bohr magnetons per cell: 0.00
ΔE to the lowest computed polymorph in eV/atom: 0.116